Entry 1:
A relaxed Tl3As2Au2 crystal. Source: the Alexandria database, functional GGA-PBE.

abc: 4.9248 4.8812 8.7845
angles: 106.13 106.28 90.00
With the nearest neighbours (Å) after each atom.
Fractional coordinates of all 7 atoms:
As1 0.5793 0.5793 0.1585  2 Au 2.54, 1 As 2.56
As2 0.4207 0.4207 0.8415  2 Au 2.54, 1 As 2.56
Tl1 0.0000 0.0000 0.0000  4 Au 3.17
Tl2 0.8071 0.3071 0.6142  1 Au 2.96, 2 As 3.07
Tl3 0.1929 0.6929 0.3858  1 Au 2.96, 2 As 3.07
Au1 0.3764 0.8764 0.7529  2 As 2.54
Au2 0.6236 0.1236 0.2471  2 As 2.54

Properties
Symmetry: No. 71
Crystal system: orthorhombic
Energy of formation from the pure elements in meV per atom: 0


Entry 2:
A relaxed Ce2Al4SnAu3 crystal. Source: the Alexandria database, functional GGA-PBE.

abc: 4.4048 4.4048 10.8882
angles: 90.00 90.00 90.00
With the nearest neighbours (Å) after each atom.
Fractional coordinates of all 10 atoms:
Al1 0.5000 0.0000 0.6484  3 Au 2.46-2.73, 2 Sn 2.73
Al2 0.0000 0.0000 0.0000  4 Au 2.59
Al3 0.5000 0.5000 0.0000  4 Au 2.59
Al4 0.0000 0.5000 0.3516  3 Au 2.46-2.73, 2 Sn 2.73
Au1 0.0000 0.0000 0.5000  4 Al 2.73
Au2 0.5000 0.0000 0.8745  5 Al 2.46-2.59
Au3 0.0000 0.5000 0.1255  5 Al 2.46-2.59
Ce1 0.0000 0.5000 0.7562  8 Al 3.33-3.45, 6 Au 3.37-3.55, 2 Sn 3.55
Ce2 0.5000 0.0000 0.2438  8 Al 3.33-3.45, 6 Au 3.37-3.55, 2 Sn 3.55
Sn1 0.5000 0.5000 0.5000  4 Al 2.73

Properties
Symmetry: No. 115
Crystal system: tetragonal
Energy of formation from the pure elements in meV per atom: -608


Entry 3:
A relaxed Pm2Bi crystal. Source: the Alexandria database, functional GGA-PBE.

abc: 4.2019 4.2019 6.0232
angles: 110.41 110.41 90.00
With the nearest neighbours (Å) after each atom.
Fractional coordinates of all 3 atoms:
Bi1 0.0000 0.0000 0.0000  10 Pm 3.39-3.60
Pm1 0.3437 0.3437 0.6874  5 Pm 3.28-3.56, 5 Bi 3.39-3.60
Pm2 0.6563 0.6563 0.3126  5 Pm 3.28-3.56, 5 Bi 3.39-3.60

Properties
Symmetry: No. 139
Crystal system: tetragonal
Energy above the lowest structure with this stoichiometry in meV/atom: 140
Energy of formation from the pure elements in meV per atom: -523


Entry 4:
A relaxed CePrMoN4 crystal. Source: the Alexandria database, functional GGA-PBE.

abc: 5.5658 5.5939 6.8939
angles: 90.00 113.81 90.00
With the nearest neighbours (Å) after each atom.
Fractional coordinates of all 14 atoms:
Pr1 0.6083 0.7500 0.2166  5 N 2.39-2.66
Pr2 0.3917 0.2500 0.7834  5 N 2.39-2.66
Mo1 0.7352 0.2500 0.4705  5 N 1.94-1.98
Mo2 0.2648 0.7500 0.5295  5 N 1.94-1.98
N1 0.5000 0.0000 0.5000  2 Mo 1.98
N2 0.5000 0.5000 0.5000  2 Mo 1.98
N3 0.4189 0.7500 0.8377  1 Mo 1.94
N4 0.0000 0.5000 0.5000  2 Mo 1.98
N5 0.0681 0.7500 0.1361  1 Ce 2.15
N6 0.0000 0.0000 0.5000  2 Mo 1.98
N7 0.9319 0.2500 0.8639  1 Ce 2.15
N8 0.5811 0.2500 0.1623  1 Mo 1.94
Ce1 0.1023 0.2500 0.2046  1 N 2.15
Ce2 0.8977 0.7500 0.7954  1 N 2.15

Properties
Symmetry: No. 63
Crystal system: orthorhombic
E_form (uncorrected) in eV per atom: -1.026


Entry 5:
A relaxed Ir3Cl crystal. Source: the Alexandria database, functional GGA-PBE.

abc: 4.7507 4.7507 2.7569
angles: 90.00 90.00 102.71
With the nearest neighbours (Å) after each atom.
Fractional coordinates of all 4 atoms:
Ir1 0.0000 0.5000 0.5000  8 Ir 2.75-2.97, 4 Cl 2.75
Ir2 0.5000 0.0000 0.5000  4 Cl 2.75, 8 Ir 2.75-2.97
Ir3 0.5000 0.5000 0.0000  10 Ir 2.75-2.76, 2 Cl 2.97
Cl1 0.0000 0.0000 0.0000  10 Ir 2.75-2.97, 2 Cl 2.76

Properties
Symmetry: No. 65
Crystal system: orthorhombic
Energy above the lowest structure with this stoichiometry in meV/atom: 486
E_form (uncorrected) in eV per atom: 0.954


Entry 6:
A relaxed FeAs6Rh crystal. Source: the Alexandria database, functional GGA-PBE.

abc: 7.3271 7.3271 7.2922
angles: 109.52 109.47 109.61
With the nearest neighbours (Å) after each atom.
Fractional coordinates of all 16 atoms:
As1 0.4956 0.1408 0.3373  1 Fe 2.34, 1 Rh 2.48, 2 As 2.53-2.60
As2 0.8035 0.1583 0.6627  1 Fe 2.34, 1 Rh 2.48, 2 As 2.53-2.60
As3 0.3378 0.4960 0.1410  1 Fe 2.36, 1 Rh 2.47, 2 As 2.53-2.59
As4 0.1462 0.3539 0.5001  2 Rh 2.45, 2 As 2.52-2.58
As5 0.8481 0.3399 0.1880  2 Fe 2.39, 2 As 2.52-2.58
As6 0.1519 0.6601 0.8120  2 Fe 2.39, 2 As 2.52-2.58
As7 0.8538 0.6461 0.4999  2 Rh 2.45, 2 As 2.52-2.58
As8 0.6450 0.8032 0.1410  1 Fe 2.36, 1 Rh 2.47, 2 As 2.53-2.59
As9 0.3550 0.1968 0.8590  1 Fe 2.36, 1 Rh 2.47, 2 As 2.53-2.59
As10 0.5044 0.8592 0.6627  1 Fe 2.34, 1 Rh 2.48, 2 As 2.53-2.60
As11 0.6622 0.5040 0.8590  1 Fe 2.36, 1 Rh 2.47, 2 As 2.53-2.59
As12 0.1965 0.8417 0.3373  1 Fe 2.34, 1 Rh 2.48, 2 As 2.53-2.60
Rh1 0.0000 0.0000 0.5000  6 As 2.45-2.48
Rh2 0.5000 0.5000 0.5000  6 As 2.45-2.48
Fe1 0.5000 0.0000 0.0000  6 As 2.34-2.39
Fe2 0.0000 0.5000 0.0000  6 As 2.34-2.39

Properties
Symmetry: No. 12
Crystal system: monoclinic
Energy of formation from the pure elements in meV per atom: -296


Record order is preserved below.
V: 27.7, 21.1, 30.8, 14.0, 15.2, 18.8 A^3/atom